# 1
DFT (PBE) results for an optimized crystal structure of Ir2RuW.

Fermi-level density of states: 4.1 states/eV/cell
calculated formation energy: -114 meV/atom
excess energy over the best structure of this formula in the dataset: 0.153 eV/atom
symmetry: P2/m, No. 10

Cell lengths 4.7321, 2.7646, 4.7602 Å; angles 90.00, 109.09, 90.00 degrees
Positions (direct):
1 Ir 0.0000 0.0000 0.0000
2 Ir 0.5000 0.5000 0.0000
3 Ru 0.0000 0.5000 0.5000
4 W 0.5000 0.0000 0.5000

=====

# 2
DFT (PBE) results for an optimized crystal structure of Pm6Pr8Nd.

Fermi-level density of states: 23.5 states/eV/cell
calculated formation energy: 225 meV/atom
excess energy over the best structure of this formula in the dataset: 0.085 eV/atom
symmetry: R-3, No. 148

Cell lengths 8.8330, 8.8330, 8.8330 Å; angles 66.78, 66.78, 66.78 degrees
Positions (direct):
1 Pm 0.1269 0.4044 0.8448
2 Pm 0.1552 0.8731 0.5956
3 Pm 0.4044 0.8448 0.1269
4 Pm 0.5956 0.1552 0.8731
5 Pm 0.8448 0.1269 0.4044
6 Pm 0.8731 0.5956 0.1552
7 Pr 0.0777 0.6755 0.3771
8 Pr 0.2630 0.2630 0.2630
9 Pr 0.3245 0.6229 0.9223
10 Pr 0.3771 0.0777 0.6755
11 Pr 0.6229 0.9223 0.3245
12 Pr 0.6755 0.3771 0.0777
13 Pr 0.7370 0.7370 0.7370
14 Pr 0.9223 0.3245 0.6229
15 Nd 0.5000 0.5000 0.5000

=====

# 3
DFT (PBE) results for an optimized crystal structure of RbHg2F.

Fermi-level density of states: 0.0 states/eV/cell
uncorrected formation energy: -82.2 kJ/mol of atoms
excess energy over the best structure of this formula in the dataset: 0.427 eV/atom
symmetry: Fm-3m, No. 225

Cell lengths 5.6803, 5.6803, 5.6803 Å; angles 60.00, 60.00, 60.00 degrees
Positions (direct):
1 Rb 0.0000 0.0000 0.0000
2 Hg 0.2500 0.2500 0.2500
3 Hg 0.7500 0.7500 0.7500
4 F 0.5000 0.5000 0.5000

=====

# 4
DFT (PBE) results for an optimized crystal structure of SiAuS2O.

Fermi-level density of states: 10.7 states/eV/cell
uncorrected formation energy: 90.1 kJ/mol of atoms
symmetry: P4/mmm, No. 123

Cell lengths 4.3581, 4.3581, 4.9737 Å; angles 90.00, 90.00, 90.00 degrees
Positions (direct):
1 Si 0.0000 0.0000 0.0000
2 Au 0.0000 0.0000 0.5000
3 S 0.0000 0.5000 0.0000
4 S 0.5000 0.0000 0.0000
5 O 0.5000 0.5000 0.5000

=====

# 5
DFT (PBE) results for an optimized crystal structure of ReHS2.

Fermi-level density of states: 1.5 states/eV/cell
excess energy over the best structure of this formula in the dataset: 0.150 eV/atom
symmetry: R-3m, No. 166

Cell lengths 6.1917, 6.1917, 6.1917 Å; angles 33.27, 33.27, 33.27 degrees
Positions (direct):
1 Re 0.0000 0.0000 0.0000
2 H 0.5000 0.5000 0.5000
3 S 0.4066 0.4066 0.4066
4 S 0.5934 0.5934 0.5934

=====

# 6
DFT (PBE) results for an optimized crystal structure of DyTeBr.

Fermi-level density of states: 0.0 states/eV/cell
uncorrected formation energy: -149.1 kJ/mol of atoms
symmetry: P3m1, No. 156

Cell lengths 4.2854, 4.2854, 7.2447 Å; angles 90.00, 90.00, 120.00 degrees
Positions (direct):
1 Dy 0.0000 0.0000 0.0000
2 Te 0.3333 0.6667 0.7699
3 Br 0.6667 0.3333 0.2349

=====

# 7
DFT (PBE) results for an optimized crystal structure of DyErCdPt.

Fermi-level density of states: 3.0 states/eV/cell
calculated formation energy: -737 meV/atom
symmetry: F-43m, No. 216

Cell lengths 5.0722, 5.0722, 5.0722 Å; angles 60.00, 60.00, 60.00 degrees
Positions (direct):
1 Dy 0.0000 0.0000 0.0000
2 Er 0.5000 0.5000 0.5000
3 Cd 0.2500 0.2500 0.2500
4 Pt 0.7500 0.7500 0.7500

=====

# 8
DFT (PBE) results for an optimized crystal structure of SrAcLa2.

Fermi-level density of states: 6.4 states/eV/cell
calculated formation energy: 71 meV/atom
excess energy over the best structure of this formula in the dataset: 0.000 eV/atom
symmetry: P4/mmm, No. 123

Cell lengths 3.8885, 3.8885, 11.2173 Å; angles 90.00, 90.00, 90.00 degrees
Positions (direct):
1 Sr 0.0000 0.0000 0.0000
2 Ac 0.0000 0.0000 0.5000
3 La 0.5000 0.5000 0.2707
4 La 0.5000 0.5000 0.7293

=====

# 9
DFT (PBE) results for an optimized crystal structure of KScTi.

Fermi-level density of states: 8.1 states/eV/cell
calculated formation energy: 424 meV/atom
excess energy over the best structure of this formula in the dataset: 0.186 eV/atom
symmetry: P1, No. 1

Cell lengths 3.2216, 4.7620, 12.9080 Å; angles 89.93, 83.49, 90.00 degrees
Positions (direct):
1 K 0.0000 0.0000 0.0000
2 K 0.3214 0.5035 0.2946
3 Sc 0.1404 0.0013 0.6911
4 Sc 0.6013 0.5009 0.7775
5 Ti 0.1946 0.5016 0.5719
6 Ti 0.7261 0.0025 0.5023

=====

# 10
DFT (PBE) results for an optimized crystal structure of U4P3S.

Fermi-level density of states: 19.9 states/eV/cell
uncorrected formation energy: -104.1 kJ/mol of atoms
symmetry: Cmmm, No. 65

Cell lengths 6.7701, 6.7701, 3.9261 Å; angles 90.00, 90.00, 109.67 degrees
Positions (direct):
1 U 0.2495 0.2495 0.5000
2 U 0.2498 0.7502 0.0000
3 U 0.7502 0.2498 0.0000
4 U 0.7505 0.7505 0.5000
5 P 0.0000 0.5000 0.5000
6 P 0.5000 0.0000 0.5000
7 P 0.5000 0.5000 0.0000
8 S 0.0000 0.0000 0.0000

=====

# 11
DFT (PBE) results for an optimized crystal structure of NaTiP2Ir.

Fermi-level density of states: 9.4 states/eV/cell
calculated formation energy: 677 meV/atom
symmetry: P4/mmm, No. 123

Cell lengths 4.5856, 4.5856, 4.8877 Å; angles 90.00, 90.00, 90.00 degrees
Positions (direct):
1 Na 0.0000 0.0000 0.0000
2 Ti 0.5000 0.5000 0.0000
3 P 0.0000 0.5000 0.5000
4 P 0.5000 0.0000 0.5000
5 Ir 0.0000 0.0000 0.5000

=====

# 12
DFT (PBE) results for an optimized crystal structure of CdCo2Sn2.

Fermi-level density of states: 2.8 states/eV/cell
calculated formation energy: 73 meV/atom
excess energy over the best structure of this formula in the dataset: 0.000 eV/atom
symmetry: P4/mbm, No. 127

Cell lengths 7.1820, 7.1820, 3.2953 Å; angles 90.00, 90.00, 90.00 degrees
Positions (direct):
1 Cd 0.0000 0.0000 0.0000
2 Cd 0.5000 0.5000 0.0000
3 Co 0.1393 0.3607 0.0000
4 Co 0.3607 0.8607 0.0000
5 Co 0.6393 0.1393 0.0000
6 Co 0.8607 0.6393 0.0000
7 Sn 0.1555 0.6555 0.5000
8 Sn 0.3445 0.1555 0.5000
9 Sn 0.6555 0.8445 0.5000
10 Sn 0.8445 0.3445 0.5000

=====

Number 1: volume 58.8 Å³/cell. Number 2: volume 558.3 Å³/cell. Number 3: volume 129.6 Å³/cell. Number 4: volume 94.5 Å³/cell. Number 5: volume 63.6 Å³/cell. Number 6: volume 115.2 Å³/cell. Number 7: volume 92.3 Å³/cell. Number 8: volume 169.6 Å³/cell. Number 9: volume 196.7 Å³/cell. Number 10: volume 169.5 Å³/cell. Number 11: volume 102.8 Å³/cell. Number 12: volume 170.0 Å³/cell.